Run w
A plane-wave DFT calculation with GGA-PBE was carried out for ZnInTe after structural relaxation.

```
3
Lattice="-2.0203 -0.9902 -3.5164 3.9220 -1.3022 0.5914 -1.8192 -4.4370 2.2947" Properties=species:S:1:pos:R:3 pbc="T T T"
Te -0.7400 -2.8027 -1.2636
Zn 0.7714 -4.0513 0.6977
In -1.7682 -4.3125 2.2303
```

---

Run x
A plane-wave DFT calculation with GGA-PBE was carried out for ZnInTe after structural relaxation.

```
3
Lattice="6.5319 -0.0033 0.0075 4.5599 4.6769 -0.0075 -5.4035 -2.6748 2.5127" Properties=species:S:1:pos:R:3 pbc="T T T"
Zn 7.4671 3.1464 0.0000
In 0.2152 0.0907 0.0000
Te 3.4095 1.4366 0.0000
```

---

So which one is most stable? That would be run w, about 18.5 kJ/mol of atoms below the next structure.

---

Run w
A plane-wave DFT calculation with GGA-PBE was carried out for Zr2InTe after structural relaxation.

```
4
Lattice="5.3429 -0.1378 -0.0839 1.2186 5.2039 0.0839 -2.7870 -3.1725 3.2773" Properties=species:S:1:pos:R:3 pbc="T T T"
Te 0.8562 2.2822 1.6806
In 2.9183 -0.3887 1.5967
Zr 3.2217 2.4875 0.0000
Zr 0.0590 0.0456 0.0000
```

---

Run x
A plane-wave DFT calculation with GGA-PBE was carried out for Zr2InTe after structural relaxation.

```
4
Lattice="5.1463 0.0161 0.0000 -0.9220 5.0631 0.0000 0.0000 0.0000 3.5005" Properties=species:S:1:pos:R:3 pbc="T T T"
Zr 2.1121 2.5396 0.0000
Te -0.4610 2.5315 1.7502
Zr 0.0000 0.0000 0.0000
In 2.5732 0.0081 1.7502
```

---

Run y
A plane-wave DFT calculation with GGA-PBE was carried out for Zr2InTe after structural relaxation.

```
4
Lattice="3.9335 0.0000 0.0000 0.0000 3.9293 0.0000 0.0000 0.0000 6.1362" Properties=species:S:1:pos:R:3 pbc="T T T"
In 0.0000 0.0000 2.8440
Te 1.9668 1.9647 4.8115
Zr 0.0000 0.0000 6.0325
Zr 1.9668 1.9647 1.6525
```

---

So which one is most stable? That would be run y, about 4.2 kJ/mol of atoms below the next structure.

---

Run w
A plane-wave DFT calculation with GGA-PBE was carried out for ZrInTe3 after structural relaxation.

```
5
Lattice="-3.6993 -0.6958 4.0733 2.7967 -4.4463 1.7804 3.0421 3.2415 3.3165" Properties=species:S:1:pos:R:3 pbc="T T T"
In 0.0000 0.0000 0.0000
Te 1.5211 1.6207 1.6582
Zr 1.0698 -0.9503 4.5851
Te 1.3983 -2.2231 0.8902
Te -1.8496 -0.3479 2.0367
```

---

Run x
A plane-wave DFT calculation with GGA-PBE was carried out for ZrInTe3 after structural relaxation.

```
5
Lattice="-3.1409 -4.6075 -0.9346 2.4767 -2.5770 4.3809 -3.9960 2.0242 3.4499" Properties=species:S:1:pos:R:3 pbc="T T T"
In -2.3301 -2.5801 3.4481
Zr 0.0000 0.0000 0.0000
Te -1.9980 1.0121 1.7249
Te 1.2384 -1.2885 2.1905
Te -1.5704 -2.3037 -0.4673
```

---

So which one is most stable? That would be run x, about 89.6 kJ/mol of atoms below the next structure.

---

Run w
A plane-wave DFT calculation with GGA-PBE was carried out for ZrInTe3 after structural relaxation.

```
20
Lattice="5.5057 0.0000 0.8159 0.0000 7.3979 0.0000 0.9171 0.0000 15.2922" Properties=species:S:1:pos:R:3 pbc="T T T"
Te 4.2721 6.3308 2.2030
Te 2.8290 1.1982 9.6299
In 4.5369 2.6327 14.9072
Te 5.3886 0.1705 12.2713
Zr 3.7034 0.9118 4.4211
Zr 2.7193 6.4861 11.6870
Te 4.4449 2.6319 6.6669
Zr 5.0136 4.6108 4.4488
In 1.3256 1.0662 6.8531
In 5.0972 6.3317 9.2550
Te 2.1507 1.0671 13.9051
Te 1.9778 4.7661 9.4412
Te 1.0342 7.2275 3.8368
Te 4.2456 3.8694 11.8909
In 1.8858 4.7652 1.2009
Te 2.1772 3.5285 4.2172
Zr 1.4092 2.7871 11.6593
Te 3.5937 6.1997 6.4782
Te 1.2995 4.8971 13.7164
Te 5.1233 2.5008 2.3917
```

---

Run x
A plane-wave DFT calculation with GGA-PBE was carried out for ZrInTe3 after structural relaxation.

```
10
Lattice="-3.6133 -0.3689 -1.9409 -2.5664 -4.8829 5.7057 -2.4379 9.5457 2.7240" Properties=species:S:1:pos:R:3 pbc="T T T"
Zr -4.6470 5.4758 1.0571
Te -2.5897 -0.5109 2.7337
Te -2.7589 3.5873 2.2697
In -2.7125 -3.5061 3.5315
Te -5.8586 0.7067 4.2190
Te -6.0278 4.8048 3.7551
Te -2.9375 7.7540 1.8104
In -5.9051 7.8001 2.9572
Zr -3.9705 -1.1818 5.4317
Te -5.6800 -3.4600 4.6784
```

---

So which one is most stable? That would be run x, about 5.3 kJ/mol of atoms below the next structure.

---

Run w
A plane-wave DFT calculation with GGA-PBE was carried out for ZrInTe4 after structural relaxation.

```
6
Lattice="-4.6788 3.8713 1.7425 -1.8731 4.6318 -3.8668 -5.6223 -0.3526 -2.8599" Properties=species:S:1:pos:R:3 pbc="T T T"
Te -6.8990 4.9857 -1.0083
Zr -9.1307 6.1129 -3.7381
Te -5.5060 5.3632 -3.7933
Te -4.5760 3.0636 -1.8734
Te -7.3675 2.8885 -3.2934
In 0.0000 0.0000 0.0000
```

---

Run x
A plane-wave DFT calculation with GGA-PBE was carried out for ZrInTe4 after structural relaxation.

```
12
Lattice="-1.1303 3.8963 -6.2098 5.7511 -3.3580 -3.1538 -4.2327 -5.3311 -2.0422" Properties=species:S:1:pos:R:3 pbc="T T T"
Te 4.0834 -2.0214 -5.0796
Te 2.3344 -5.9343 -4.7836
In -2.6815 -0.7174 -4.1260
In 0.7592 -4.3446 -2.5980
Zr 0.0000 0.0000 0.0000
Te -1.9505 -5.4084 -3.8682
Te 2.3387 0.6155 -7.5376
Te -3.6953 -2.7714 -6.3262
Te 0.1348 -3.0318 -6.9922
Zr 2.3104 0.2691 -4.6818
Te 0.2533 -1.7611 -4.4136
Te -1.9462 1.1414 -6.6222
```

---

So which one is most stable? That would be run x, about 85.0 kJ/mol of atoms below the next structure.

---

Run w
A plane-wave DFT calculation with GGA-PBE was carried out for ThTiIn2 after structural relaxation.

```
4
Lattice="4.7039 0.0000 0.0000 2.3520 4.0737 0.0000 2.3520 1.3579 5.4101" Properties=species:S:1:pos:R:3 pbc="T T T"
Ti 0.0000 0.0000 0.0000
In 2.3520 1.3579 0.9229
In 7.0559 4.0737 4.4872
Th 4.7039 2.7158 2.7051
```

---

Run x
A plane-wave DFT calculation with GGA-PBE was carried out for ThTiIn2 after structural relaxation.

```
4
Lattice="4.7444 0.0000 0.0000 0.0000 4.5428 0.0000 0.0000 0.0000 4.5428" Properties=species:S:1:pos:R:3 pbc="T T T"
In 0.0000 0.0000 2.2714
In 0.0000 2.2714 0.0000
Th 2.3722 2.2714 2.2714
Ti 2.3722 0.0000 0.0000
```

---

Run y
A plane-wave DFT calculation with GGA-PBE was carried out for ThTiIn2 after structural relaxation.

```
4
Lattice="-2.5459 -0.4299 -2.0854 -1.5036 -1.9386 2.2353 -3.8985 6.8771 3.3418" Properties=species:S:1:pos:R:3 pbc="T T T"
Ti -2.0248 -1.1842 0.0750
Th -3.9740 2.2543 1.7458
In -0.8375 1.4773 0.7179
In -3.0611 5.3998 2.6239
```

---

So which one is most stable? That would be run y, about 4.7 kJ/mol of atoms below the next structure.

---

Run w
A plane-wave DFT calculation with GGA-PBE was carried out for ThTlIn after structural relaxation.

```
12
Lattice="-6.1230 -4.7514 -1.9357 4.4140 -5.1387 4.2337 -2.4382 6.8485 4.5943" Properties=species:S:1:pos:R:3 pbc="T T T"
Tl -0.7832 -0.8408 7.3325
Th 0.8273 -0.0746 4.6299
Th -1.4424 -8.3471 1.9394
In -0.9388 2.6154 4.7914
Th -0.2666 -1.5430 0.3585
Tl 1.9045 -2.3945 2.6445
Th 0.2940 -3.1607 5.3470
Tl -2.8034 -3.8185 4.5482
In -0.5742 -5.7539 3.6432
In -4.0003 0.2397 3.8235
Tl -1.3439 0.7769 2.3440
In -2.7812 -3.1845 1.5264
```

---

Run x
A plane-wave DFT calculation with GGA-PBE was carried out for ThTlIn after structural relaxation.

```
12
Lattice="4.7571 0.0000 0.0000 0.0000 6.5354 0.0000 0.0000 0.0000 11.0422" Properties=species:S:1:pos:R:3 pbc="T T T"
In 0.0000 3.2677 6.8496
Tl 0.0000 4.9019 2.7594
In 2.3786 0.0000 4.1926
Tl 0.0000 1.6336 2.7594
Th 2.3786 0.0000 0.8612
Th 0.0000 0.0000 6.3822
Tl 2.3786 4.9013 8.2827
In 2.3786 3.2677 1.3277
Th 2.3786 3.2677 4.6599
Th 0.0000 3.2677 10.1810
In 0.0000 0.0000 9.7144
Tl 2.3786 1.6341 8.2827
```

---

Run y
A plane-wave DFT calculation with GGA-PBE was carried out for ThTlIn after structural relaxation.

```
6
Lattice="5.4573 0.0000 -2.2950 0.0000 6.5419 0.0000 -1.0111 0.0000 5.2317" Properties=species:S:1:pos:R:3 pbc="T T T"
Th 1.6608 1.6355 0.1313
Th 2.7854 4.9064 2.8054
Tl 2.8800 1.6355 3.0305
Tl 1.5661 4.9064 -0.0938
In -0.5055 0.0000 2.6158
In -0.5055 3.2709 2.6158
```

---

Run z
A plane-wave DFT calculation with GGA-PBE was carried out for ThTlIn after structural relaxation.

```
3
Lattice="3.6737 0.0000 0.0000 0.0000 3.6737 0.0000 -1.8369 -1.8369 6.2986" Properties=species:S:1:pos:R:3 pbc="T T T"
Th 1.8369 1.8369 1.5080
In 0.0000 0.0000 3.6661
Tl 1.8369 1.8369 5.5335
```

---

So which one is most stable? That would be run x, about 2.9 kJ/mol of atoms below the next structure.

---

Run w
A plane-wave DFT calculation with GGA-PBE was carried out for Th4TlIn2 after structural relaxation.

```
14
Lattice="5.7673 0.0000 -0.5041 0.0000 6.6318 0.0000 -2.5218 0.0000 11.3101" Properties=species:S:1:pos:R:3 pbc="T T T"
In -0.0171 1.6579 11.0343
Tl 3.1970 1.6579 9.1023
In 3.1301 4.9738 6.0227
Th -0.3237 1.6579 1.5447
In 3.2627 4.9738 -0.2283
Tl 0.0485 4.9738 1.7037
Th 0.4192 0.0203 8.0024
Th 0.4192 3.2956 8.0024
Th 3.5693 4.9738 9.2613
Th 3.1412 1.6579 5.9850
In 0.1154 1.6579 4.7833
Th 0.1044 4.9738 4.8210
Th 2.8264 3.3362 2.8036
Th 2.8264 6.6115 2.8036
```

---

Run x
A plane-wave DFT calculation with GGA-PBE was carried out for Th4TlIn2 after structural relaxation.

```
7
Lattice="5.2409 0.3455 2.2923 2.6730 4.5212 2.2923 0.8949 0.5503 10.1635" Properties=species:S:1:pos:R:3 pbc="T T T"
Th 3.7343 2.2964 10.5189
In 6.5575 4.0326 11.0595
In 2.2512 1.3844 3.6887
Th 7.3004 4.4894 7.9374
Th 1.5083 0.9276 6.8107
Th 5.0744 3.1205 4.2292
Tl 0.0000 0.0000 0.0000
```

---

So which one is most stable? That would be run w, about 6.9 kJ/mol of atoms below the next structure.

---

Run w
A plane-wave DFT calculation with GGA-PBE was carried out for YThTlIn after structural relaxation.

```
4
Lattice="-2.1122 -3.8957 -0.8205 4.2916 -2.4679 0.6700 -1.0346 -0.4701 4.8954" Properties=species:S:1:pos:R:3 pbc="T T T"
In 0.0000 0.0000 0.0000
Tl 1.6285 -1.4690 2.7827
Y -1.5734 -2.1829 2.0375
Th 1.0897 -3.1818 -0.0752
```

---

Run x
A plane-wave DFT calculation with GGA-PBE was carried out for YThTlIn after structural relaxation.

```
4
Lattice="5.4418 0.0000 0.0000 2.7209 4.7127 0.0000 2.7209 1.5709 4.4432" Properties=species:S:1:pos:R:3 pbc="T T T"
Th 5.4418 3.1418 2.2216
In 8.1627 4.7127 3.3324
Tl 2.7209 1.5709 1.1108
Y 0.0000 0.0000 0.0000
```

---

So which one is most stable? That would be run w, about 2.2 kJ/mol of atoms below the next structure.

---

Run w
A plane-wave DFT calculation with GGA-PBE was carried out for TmTh2In after structural relaxation.

```
4
Lattice="3.5030 0.0000 0.0000 1.7515 3.0337 0.0000 1.7515 1.0112 11.4981" Properties=species:S:1:pos:R:3 pbc="T T T"
Th 1.7515 1.0112 2.9517
Th 1.7515 1.0112 8.5450
In 3.5030 2.0224 5.7348
Tm 3.5030 2.0224 0.0156
```

---

Run x
A plane-wave DFT calculation with GGA-PBE was carried out for TmTh2In after structural relaxation.

```
8
Lattice="5.7110 0.0000 0.0000 0.0000 6.0268 -0.3285 0.0000 0.5050 6.8574" Properties=species:S:1:pos:R:3 pbc="T T T"
In 4.2833 5.7707 3.9111
Th 4.2833 2.9340 5.8217
In 1.4278 0.7611 2.6178
Tm 1.4278 4.0014 4.0794
Th 4.2833 5.4657 0.4880
Th 1.4278 1.0661 6.0409
Th 1.4278 3.5978 0.7072
Tm 4.2833 2.5304 2.4495
```

---

Run y
A plane-wave DFT calculation with GGA-PBE was carried out for TmTh2In after structural relaxation.

```
4
Lattice="5.0456 0.0000 0.0000 0.0000 4.8158 0.0000 0.0000 0.0000 4.8158" Properties=species:S:1:pos:R:3 pbc="T T T"
Th 0.0000 0.0000 2.4079
In 2.5228 2.4079 2.4079
Th 0.0000 2.4079 0.0000
Tm 2.5228 0.0000 0.0000
```

---

So which one is most stable? That would be run y, about 12.2 kJ/mol of atoms below the next structure.